[1]
! PBE HfZr2SnH, relaxed; values from VASP
! Space-group type: P4/mmm, No. 123
! Total energy (eV per atom): -7.185
! N(E_F) (states/eV per cell): 3.9
! V (Å³ per atom): 18.22
&SYSTEM
  ibrav = 0, nat = 5, ntyp = 4
/
ATOMIC_SPECIES
Hf 178.49 Hf.upf
Zr 91.22 Zr.upf
Sn 118.71 Sn.upf
H 1.01 H.upf
CELL_PARAMETERS angstrom
4.268 0.000 0.000
0.000 4.268 0.000
0.000 0.000 5.002
ATOMIC_POSITIONS crystal
Hf 0.000 0.000 0.000
Zr 0.000 0.500 0.500
Zr 0.500 0.000 0.500
Sn 0.500 0.500 0.000
H 0.500 0.500 0.500

***

[2]
! PBE Np2BiO11, relaxed; values from VASP
! Space-group type: Ima2, No. 46
! ΔE_f (raw) (kcal/mol of atoms): -38.48
! V (Å³ per atom): 17.09
&SYSTEM
  ibrav = 0, nat = 28, ntyp = 3
/
ATOMIC_SPECIES
Np 237.00 Np.upf
Bi 208.98 Bi.upf
O 16.00 O.upf
CELL_PARAMETERS angstrom
-5.440 4.685 4.693
5.440 -4.685 4.693
5.440 4.685 -4.693
ATOMIC_POSITIONS crystal
Np 0.221 0.250 0.471
Np 0.319 0.798 0.021
Np 0.778 0.298 0.979
Np 0.779 0.750 0.529
Bi 0.274 0.274 0.000
Bi 0.274 0.774 0.500
O 0.219 0.226 0.247
O 0.219 0.472 0.493
O 0.231 0.032 0.454
O 0.231 0.277 0.699
O 0.325 0.580 0.002
O 0.325 0.823 0.245
O 0.337 0.029 0.052
O 0.337 0.785 0.808
O 0.578 0.080 0.755
O 0.578 0.323 0.998
O 0.579 0.532 0.301
O 0.579 0.777 0.546
O 0.605 0.475 0.631
O 0.724 0.998 0.226
O 0.772 0.498 0.774
O 0.840 0.141 0.200
O 0.844 0.975 0.369
O 0.941 0.641 0.800
O 0.977 0.285 0.948
O 0.977 0.529 0.192
O 0.979 0.726 0.507
O 0.979 0.972 0.753

***

[3]
! PBE Pr2HoTmSe5, relaxed; values from VASP
! Space-group type: P4/mmm, No. 123
! ΔE_f (raw) (kcal/mol of atoms): -30.36
! N(E_F) (states/eV per cell): 6.4
! V (Å³ per atom): 30.50
&SYSTEM
  ibrav = 0, nat = 9, ntyp = 4
/
ATOMIC_SPECIES
Pr 140.91 Pr.upf
Ho 164.93 Ho.upf
Tm 168.93 Tm.upf
Se 78.96 Se.upf
CELL_PARAMETERS angstrom
5.066 0.000 0.000
0.000 5.066 0.000
0.000 0.000 10.696
ATOMIC_POSITIONS crystal
Pr 0.000 0.000 0.202
Pr 0.000 0.000 0.798
Ho 0.500 0.500 0.500
Tm 0.500 0.500 0.000
Se 0.000 0.000 0.500
Se 0.000 0.500 0.000
Se 0.500 0.000 0.000
Se 0.500 0.500 0.255
Se 0.500 0.500 0.745

***

[4]
! PBE MnOs3, relaxed; values from VASP
! Space-group type: Pmmn, No. 59
! ΔH_f (0 K) (eV/atom): 0.05
! N(E_F) (states/eV per cell): 18.8
! V (Å³ per atom): 13.66
&SYSTEM
  ibrav = 0, nat = 24, ntyp = 2
/
ATOMIC_SPECIES
Mn 54.94 Mn.upf
Os 190.23 Os.upf
CELL_PARAMETERS angstrom
5.392 0.000 0.000
0.000 13.006 0.000
0.000 0.000 4.673
ATOMIC_POSITIONS crystal
Mn 0.250 0.086 0.162
Mn 0.250 0.414 0.162
Mn 0.250 0.750 0.504
Mn 0.750 0.250 0.496
Mn 0.750 0.586 0.838
Mn 0.750 0.914 0.838
Os 0.000 0.250 0.005
Os 0.000 0.750 0.995
Os 0.002 0.587 0.332
Os 0.002 0.913 0.332
Os 0.250 0.250 0.495
Os 0.250 0.585 0.832
Os 0.250 0.915 0.832
Os 0.498 0.587 0.332
Os 0.498 0.913 0.332
Os 0.500 0.250 0.005
Os 0.500 0.750 0.995
Os 0.502 0.087 0.668
Os 0.502 0.413 0.668
Os 0.750 0.085 0.168
Os 0.750 0.415 0.168
Os 0.750 0.750 0.505
Os 0.998 0.087 0.668
Os 0.998 0.413 0.668